1.
First-principles (PBE) data for an optimized crystal structure of LaAsOs2, as listed in Alexandria via LeMat-Bulk.

a = 7.419 Å, b = 7.419 Å, c = 6.039 Å
α = 52.10°, β = 52.10°, γ = 90.00°
Fractional coordinates of all 8 atoms:
As 0.500 0.500 0.000
Os 0.202 0.625 0.250
La 0.000 0.000 0.000
La 0.750 0.250 0.500
Os 0.375 0.452 0.750
As 0.250 0.750 0.500
Os 0.548 0.125 0.250
Os 0.875 0.798 0.750

Values from the calculation:
Magnetization   0.000 μB/atom
Density   11.99 g/cm³
DFT formation energy   0.365 eV/atom

=====

2.
First-principles (PBE) data for an optimized crystal structure of Re2AgSe, as listed in Alexandria via LeMat-Bulk.

a = 2.906 Å, b = 2.906 Å, c = 8.241 Å
α = 90.00°, β = 90.00°, γ = 90.00°
Fractional coordinates of all 4 atoms:
Re 0.000 0.000 0.034
Se 0.000 0.000 0.446
Re 0.500 0.500 0.242
Ag 0.500 0.500 0.778

Values from the calculation:
Magnetization   0.000 μB/atom
Raw formation energy   1.41 eV/f.u.
Density   13.34 g/cm³

=====

3.
First-principles (PBE) data for an optimized crystal structure of CaPrTlPt, as listed in Alexandria via LeMat-Bulk.

a = 5.272 Å, b = 5.272 Å, c = 5.272 Å
α = 60.00°, β = 60.00°, γ = 60.00°
Fractional coordinates of all 4 atoms:
Tl 0.250 0.250 0.250
Ca 0.500 0.500 0.500
Pt 0.750 0.750 0.750
Pr 0.000 0.000 0.000

Values from the calculation:
Magnetization   0.000 μB/atom
Density   9.30 g/cm³
DFT formation energy   -0.617 eV/atom